NaTiTl2, relaxed, DFT PBE; DOS(E_F) = 3.73 states/eV/f.u.; total magnetization = 0.000 μB per atom; energy relative to the elements = 341 meV per atom; calculated density = 7.68 g/cm³; SG = R-3m, No. 166
1.0
1.635 0.944 11.188
-1.635 0.944 11.188
0.000 -1.888 11.188
Na Ti Tl
1 1 2
direct
0.000 0.000 0.000 Na
0.500 0.500 0.500 Ti
0.416 0.416 0.416 Tl
0.584 0.584 0.584 Tl